--- P ---
Compound: KBa2MgPd
Source: Alexandria
Functional: PBE
Structure: optimized geometry Values from VASP.

Properties
total moment: 0.3 μB/cell

Structure (Quantum ESPRESSO input):
```
&SYSTEM
  ibrav = 0, nat = 5, ntyp = 4
/
ATOMIC_SPECIES
K 39.10 K.upf
Ba 137.33 Ba.upf
Mg 24.30 Mg.upf
Pd 106.42 Pd.upf
ATOMIC_POSITIONS crystal
K 0.0000 0.0000 0.0000
Ba 0.0000 0.5000 0.0000
Ba 0.5000 0.0000 0.0000
Mg 0.5000 0.5000 0.5000
Pd 0.0000 0.0000 0.5000
CELL_PARAMETERS angstrom
6.6910 0.0000 0.0000
0.0000 6.6910 0.0000
0.0000 0.0000 5.1257
```

--- Q ---
Compound: KBa2MgPd
Source: Alexandria
Functional: PBE
Structure: optimized geometry Values from VASP.

Properties
total moment: 0.0 μB/cell

Structure (Quantum ESPRESSO input):
```
&SYSTEM
  ibrav = 0, nat = 5, ntyp = 4
/
ATOMIC_SPECIES
K 39.10 K.upf
Ba 137.33 Ba.upf
Mg 24.30 Mg.upf
Pd 106.42 Pd.upf
ATOMIC_POSITIONS crystal
K 0.0000 0.0000 0.0000
Ba 0.0000 0.5000 0.5000
Ba 0.5000 0.0000 0.5000
Mg 0.5000 0.5000 0.0000
Pd 0.5000 0.5000 0.5000
CELL_PARAMETERS angstrom
6.3332 0.0000 0.0000
0.0000 6.3332 0.0000
0.0000 0.0000 5.4565
```

Energies relative to the most stable structure, in meV per atom: P 770; Q 0.